[1]
This record from Alexandria describes crystalline TaCu2Ir at its relaxed geometry. The functional is PBE.

a b c (Å): 3.762 3.762 4.036
angles (deg): 90.00 90.00 90.00
Sites, in units of the cell vectors:
Ir 0.500 0.000 0.500
Ta 0.000 0.500 0.500
Cu 0.000 0.000 0.000
Cu 0.500 0.500 0.000

Properties
- SG: P4/mmm, No. 123

***

[2]
This record from Alexandria describes crystalline Pr2AgI at its relaxed geometry. The functional is PBE.

a b c (Å): 3.714 3.714 8.520
angles (deg): 90.00 90.00 90.00
Sites, in units of the cell vectors:
Pr 0.000 0.000 0.230
Pr 0.000 0.000 0.770
Ag 0.500 0.500 0.000
I 0.500 0.500 0.500

Properties
- ΔE_f (raw): -0.483 eV per atom
- SG: P4/mmm, No. 123

***

What magnetization values result from the calculations? In sequence: 0.000, 0.003 μB/atom.
What energy values result from the calculations? In sequence: -7.275, -3.973 eV/atom.